A relaxed structure of Fe2HgOs, computed with PBE.

Summary:
Magnetic moment ... 5.67 μB/f.u.

a b c (Å): 2.9114 4.4869 8.9748
angles (deg): 90.00 90.00 90.00
Closest atoms and distances in Å follow each position.
Atoms (fractional coordinates):
Fe 0.0000 0.0000 0.0000  2 Fe 2.47, 4 Os 2.70, 2 Hg 2.76
Fe 0.0000 0.5000 0.2776  2 Fe 2.47, 2 Os 2.59, 4 Hg 2.68
Fe 0.5000 0.0000 0.7776  2 Fe 2.47, 2 Os 2.59, 4 Hg 2.68
Fe 0.5000 0.5000 0.5000  2 Fe 2.47, 4 Os 2.70, 2 Hg 2.76
Hg 0.0000 0.5000 0.7607  6 Fe 2.68-2.76, 2 Os 2.89, 2 Hg 2.91
Hg 0.5000 0.0000 0.2607  6 Fe 2.68-2.76, 2 Os 2.89, 2 Hg 2.91
Os 0.0000 0.0000 0.5385  6 Fe 2.59-2.70, 2 Hg 2.89
Os 0.5000 0.5000 0.0385  6 Fe 2.59-2.70, 2 Hg 2.89

A relaxed structure of Fe2HgOs, computed with PBE.

Summary:
Magnetic moment ... 4.69 μB/f.u.

a b c (Å): 2.7992 3.6854 5.7206
angles (deg): 90.00 90.00 90.00
Closest atoms and distances in Å follow each position.
Atoms (fractional coordinates):
Fe 0.0000 0.0000 0.2069  1 Fe 2.37, 4 Os 2.60
Fe 0.0000 0.0000 0.7931  1 Fe 2.37, 4 Os 2.60
Hg 0.5000 0.5000 0.5000  2 Hg 2.80, 8 Fe 2.86, 2 Os 2.86
Os 0.5000 0.5000 0.0000  8 Fe 2.60, 2 Os 2.80, 2 Hg 2.86

A relaxed structure of Fe2HgOs, computed with PBE.

Summary:
Magnetic moment ... 6.37 μB/f.u.

a b c (Å): 6.2211 6.2211 6.2211
angles (deg): 90.00 90.00 90.00
Closest atoms and distances in Å follow each position.
Atoms (fractional coordinates):
Fe 0.0000 0.0000 0.0000  4 Os 2.69, 4 Fe 2.69
Fe 0.0000 0.5000 0.5000  4 Os 2.69, 4 Fe 2.69
Fe 0.2500 0.2500 0.2500  4 Fe 2.69, 4 Hg 2.69
Fe 0.2500 0.7500 0.7500  4 Fe 2.69, 4 Hg 2.69
Fe 0.5000 0.0000 0.5000  4 Os 2.69, 4 Fe 2.69
Fe 0.5000 0.5000 0.0000  4 Os 2.69, 4 Fe 2.69
Fe 0.7500 0.2500 0.7500  4 Fe 2.69, 4 Hg 2.69
Fe 0.7500 0.7500 0.2500  4 Fe 2.69, 4 Hg 2.69
Hg 0.0000 0.0000 0.5000  4 Fe 2.69, 4 Os 2.69
Hg 0.0000 0.5000 0.0000  4 Fe 2.69, 4 Os 2.69
Hg 0.5000 0.0000 0.0000  4 Fe 2.69, 4 Os 2.69
Hg 0.5000 0.5000 0.5000  4 Fe 2.69, 4 Os 2.69
Os 0.2500 0.2500 0.7500  4 Hg 2.69, 4 Fe 2.69
Os 0.2500 0.7500 0.2500  4 Hg 2.69, 4 Fe 2.69
Os 0.7500 0.2500 0.2500  4 Hg 2.69, 4 Fe 2.69
Os 0.7500 0.7500 0.7500  4 Hg 2.69, 4 Fe 2.69

A relaxed structure of FeHgOs2, computed with PBE.

Summary:
Magnetic moment ... 2.09 μB/f.u.

a b c (Å): 2.7748 2.7748 27.5313
angles (deg): 90.00 90.00 120.00
Closest atoms and distances in Å follow each position.
Atoms (fractional coordinates):
Fe 0.0000 0.0000 0.0000  6 Os 2.56, 6 Fe 2.77
Fe 0.3333 0.6667 0.6667  6 Os 2.56, 6 Fe 2.77
Fe 0.6667 0.3333 0.3333  6 Os 2.56, 6 Fe 2.77
Hg 0.0000 0.0000 0.5000  6 Hg 2.77, 6 Os 3.05
Hg 0.3333 0.6667 0.1667  6 Hg 2.77, 6 Os 3.05
Hg 0.6667 0.3333 0.8333  6 Hg 2.77, 6 Os 3.05
Os 0.0000 0.0000 0.2609  3 Fe 2.56, 6 Os 2.77
Os 0.0000 0.0000 0.7391  3 Fe 2.56, 6 Os 2.77
Os 0.3333 0.6667 0.4058  3 Fe 2.56, 6 Os 2.77
Os 0.3333 0.6667 0.9275  3 Fe 2.56, 6 Os 2.77
Os 0.6667 0.3333 0.0725  3 Fe 2.56, 6 Os 2.77
Os 0.6667 0.3333 0.5942  3 Fe 2.56, 6 Os 2.77

The records above give, respectively, electronic total energy values of -52.834; -26.779; -102.822; -87.486 eV for the cell shown.